No. 1
The following is a DFT calculation (SCAN) of a PBEsol-optimized structure of Ca3HgP.

```
Ca3HgP
1.0
5.399 0.000 0.000
0.000 5.399 0.000
0.000 0.000 5.399
Ca Hg P
3 1 1
direct
0.000 0.000 0.500
0.000 0.500 0.000
0.500 0.000 0.000
0.500 0.500 0.500
0.000 0.000 0.000
```

E_tot   -22.238 eV per atom
SG   No. 221
Magnetic moment   0.00 μB per cell


No. 2
The following is a DFT calculation (SCAN) of a PBEsol-optimized structure of Ca2HgP.

```
Ca2HgP
1.0
3.563 0.000 0.000
0.000 3.710 0.000
0.000 0.000 6.952
Ca Hg P
2 1 1
direct
0.000 0.000 0.218
0.000 0.000 0.782
0.500 0.500 0.500
0.500 0.500 0.000
```

E_tot   -25.383 eV per atom
SG   No. 47
E above lowest polymorph   59.1 meV per atom
Magnetic moment   0.00 μB per cell


No. 3
The following is a DFT calculation (SCAN) of a PBEsol-optimized structure of Ca2HgP.

```
Ca2HgP
1.0
5.095 0.000 0.000
0.000 5.095 0.000
0.000 0.000 7.171
Ca Hg P
4 2 2
direct
0.000 0.500 0.250
0.000 0.500 0.750
0.500 0.000 0.250
0.500 0.000 0.750
0.000 0.000 0.000
0.500 0.500 0.500
0.000 0.000 0.500
0.500 0.500 0.000
```

E_tot   -25.278 eV per atom
SG   No. 139
E above lowest polymorph   163.5 meV per atom
Magnetic moment   0.00 μB per cell


| no. | calculated density (kg/m3) | N(E_F) (states/eV/f.u.) | formation energy from the elements (eV per atom) |
| --- | --- | --- | --- |
| 1 | 3712 | 2.864 | -0.727 |
| 2 | 5632 | 1.499 | -0.910 |
| 3 | 5562 | 2.578 | -0.806 |